No. 1
CsInHg3 | PBE | relaxed

Values from the calculation:
The calculated volume comes out at 60.260 Å³ per atom. The calculation puts the calculated formation energy at 388.6 meV per atom.

extended XYZ file:
```
5
Lattice="6.7040 0.0000 0.0000 0.0000 6.7040 0.0000 0.0000 0.0000 6.7040" Properties=species:S:1:pos:R:3 pbc="T T T"
Cs 0.0000 0.0000 0.0000
In 3.3520 3.3520 3.3520
Hg 0.0000 0.0000 3.3520
Hg 0.0000 3.3520 0.0000
Hg 3.3520 0.0000 0.0000
```



No. 2
CsIn6Hg12 | PBE | relaxed

Values from the calculation:
The calculated volume comes out at 29.009 Å³ per atom. The calculation puts the calculated formation energy at -35.7 meV per atom.

extended XYZ file:
```
19
Lattice="7.6647 4.4252 2.7084 -7.6647 4.4252 2.7084 0.0000 -8.8505 2.7084" Properties=species:S:1:pos:R:3 pbc="T T T"
Cs 0.0000 0.0000 0.0000
In -2.0559 -3.2781 2.3487
In -1.8110 3.4195 2.3487
In -3.8669 0.1414 5.7764
In 3.8669 -0.1414 2.3487
In 1.8110 -3.4195 5.7764
In 2.0559 3.2781 5.7764
Hg -4.6820 2.0430 3.0271
Hg -2.2639 -0.0377 2.9161
Hg 0.5717 -5.0762 3.0271
Hg -4.1103 -3.0332 5.0981
Hg 1.1646 -1.9418 2.9161
Hg -1.0993 -1.9794 5.2090
Hg 1.0993 1.9794 2.9161
Hg -1.1646 1.9418 5.2090
Hg 4.1103 3.0332 3.0271
Hg -0.5717 5.0762 5.0981
Hg 2.2639 0.0377 5.2090
Hg 4.6820 -2.0430 5.0981
```



No. 3
CsInHg4 | PBE | relaxed

Values from the calculation:
The calculated volume comes out at 34.626 Å³ per atom. The calculation puts the calculated formation energy at -129.1 meV per atom.

extended XYZ file:
```
12
Lattice="2.6691 -10.1772 0.0000 2.6691 10.1772 0.0000 0.0000 0.0000 7.6482" Properties=species:S:1:pos:R:3 pbc="T T T"
Cs 2.6691 7.8858 5.7361
Cs 2.6691 -7.8858 1.9120
In 2.6691 5.5722 1.9120
In 2.6691 -5.5722 5.7361
Hg 2.6691 8.7235 1.9120
Hg 2.6691 3.7077 4.2322
Hg 2.6691 3.7077 7.2401
Hg 2.6691 0.0000 0.0000
Hg 2.6691 0.0000 3.8241
Hg 2.6691 -3.7077 0.4081
Hg 2.6691 -3.7077 3.4160
Hg 2.6691 -8.7235 5.7361
```



No. 4
CsIn2Hg3 | PBE | relaxed

Values from the calculation:
The calculated volume comes out at 33.429 Å³ per atom. The calculation puts the calculated formation energy at -128.8 meV per atom.

extended XYZ file:
```
12
Lattice="6.2490 -4.6502 0.0000 6.2490 4.6502 0.0000 0.0000 0.0000 6.9022" Properties=species:S:1:pos:R:3 pbc="T T T"
Cs 6.2490 3.1199 5.1767
Cs 6.2490 -3.1199 1.7256
In 3.8206 0.0000 0.0000
In 3.8206 0.0000 3.4511
In 8.6774 0.0000 0.0000
In 8.6774 0.0000 3.4511
Hg 3.9614 2.7595 1.7256
Hg 8.5365 2.7595 1.7256
Hg 6.2490 0.7988 1.7256
Hg 6.2490 -0.7988 5.1767
Hg 3.9614 -2.7595 5.1767
Hg 8.5365 -2.7595 5.1767
```



No. 5
CsIn12Hg4 | PBE | relaxed

Values from the calculation:
The calculated volume comes out at 31.204 Å³ per atom. The calculation puts the calculated formation energy at 67.4 meV per atom.

extended XYZ file:
```
17
Lattice="-5.0996 5.0996 5.0996 5.0996 -5.0996 5.0996 5.0996 5.0996 -5.0996" Properties=species:S:1:pos:R:3 pbc="T T T"
Cs 0.0000 0.0000 0.0000
In 3.6282 0.0000 1.5625
In 6.5709 0.0000 1.5625
In 5.0996 3.5371 -1.4714
In 1.5625 3.6282 0.0000
In 3.5371 -1.4714 5.0996
In 5.0996 3.5371 1.4714
In 0.0000 1.5625 3.6282
In 1.5625 6.5709 0.0000
In 3.5371 1.4714 5.0996
In 0.0000 1.5625 6.5709
In -1.4714 5.0996 3.5371
In 1.4714 5.0996 3.5371
Hg 2.5498 2.5498 -2.5498
Hg 2.5498 -2.5498 2.5498
Hg -2.5498 2.5498 2.5498
Hg 2.5498 2.5498 2.5498
```



No. 6
Cs3InHg8 | PBE | relaxed

Values from the calculation:
The calculated volume comes out at 34.707 Å³ per atom. The calculation puts the calculated formation energy at -154.6 meV per atom.

extended XYZ file:
```
12
Lattice="3.2931 1.9013 11.0863 -3.2931 1.9013 11.0863 0.0000 -3.8026 11.0863" Properties=species:S:1:pos:R:3 pbc="T T T"
Cs 0.0000 0.0000 0.0000
Cs 0.0000 0.0000 4.2839
Cs 0.0000 0.0000 17.0300
In 0.0000 0.0000 20.9979
Hg -1.6694 -0.9639 13.2187
Hg 0.0000 -1.9020 7.8671
Hg -1.6471 0.9510 7.8671
Hg 0.0000 0.0000 10.4863
Hg 1.6694 -0.9639 13.2187
Hg 0.0000 1.9277 13.2187
Hg 1.6472 0.9510 7.8671
Hg 0.0000 0.0000 27.2115
```



No. 7
Cs12In5Hg3 | PBE | relaxed

Values from the calculation:
The calculated volume comes out at 77.391 Å³ per atom. The calculation puts the calculated formation energy at 158.6 meV per atom.

extended XYZ file:
```
80
Lattice="-11.5675 11.5675 11.5675 11.5675 -11.5675 11.5675 11.5675 11.5675 -11.5675" Properties=species:S:1:pos:R:3 pbc="T T T"
Cs 3.4000 -0.6389 1.7447
Cs 13.9512 7.5285 -6.4226
Cs 10.9286 -1.7447 3.4000
Cs 17.9901 -2.3837 4.0390
Cs 14.9675 0.6389 1.7447
Cs 13.9512 -4.0390 6.4226
Cs 1.7447 3.4000 -0.6389
Cs 15.6065 5.1449 -2.3837
Cs 7.5285 6.4226 -2.3837
Cs 9.8228 3.4000 0.6389
Cs -0.6389 1.7447 3.4000
Cs 6.4226 -2.3837 7.5285
Cs 10.9286 9.8228 -3.4000
Cs 6.4226 2.3837 4.0390
Cs 9.8228 -3.4000 10.9286
Cs 7.5285 -6.4226 13.9512
Cs 4.0390 6.4226 2.3837
Cs 13.3122 8.1675 0.6389
Cs 3.4000 10.9286 -1.7447
Cs 13.9512 4.0390 5.1449
Cs 6.4226 13.9512 -4.0390
Cs 10.9286 1.7447 8.1675
Cs 2.3837 4.0390 6.4226
Cs 3.4000 0.6389 9.8228
Cs 8.1675 10.9286 1.7447
Cs 9.1838 7.5285 5.1449
Cs 0.6389 9.8228 3.4000
Cs 5.1449 -2.3837 15.6065
Cs -2.3837 7.5285 6.4226
Cs 8.1675 0.6389 13.3122
Cs -1.7447 3.4000 10.9286
Cs 7.5285 5.1449 9.1838
Cs 4.0390 17.9901 -2.3837
Cs 1.7447 14.9675 0.6389
Cs 5.1449 9.1838 7.5285
Cs 0.6389 1.7447 14.9675
Cs 5.1449 13.9512 4.0390
Cs 12.2064 9.8228 8.1675
Cs 1.7447 8.1675 10.9286
Cs 4.0390 5.1449 13.9512
Cs -4.0390 6.4226 13.9512
Cs 9.8228 8.1675 12.2064
Cs -2.3837 15.6065 5.1449
Cs -3.4000 10.9286 9.8228
Cs -6.4226 13.9512 7.5285
Cs 0.6389 13.3122 8.1675
Cs -2.3837 4.0390 17.9901
Cs 8.1675 12.2064 9.8228
In 0.0000 0.0000 0.0000
In 5.7838 5.7838 -5.7838
In 5.7838 -5.7838 5.7838
In 11.5675 0.0000 0.0000
In 17.3513 2.8919 0.0000
In 11.5675 -5.7838 8.6756
In 8.6756 11.5675 -5.7838
In 8.6756 0.0000 5.7838
In 5.7838 8.6756 0.0000
In 11.5675 5.7838 2.8919
In -5.7838 5.7838 5.7838
In 0.0000 11.5675 0.0000
In 0.0000 0.0000 11.5675
In 5.7838 5.7838 5.7838
In 0.0000 5.7838 8.6756
In 5.7838 2.8919 11.5675
In 2.8919 11.5675 5.7838
In 2.8919 0.0000 17.3513
In 0.0000 17.3513 2.8919
In -5.7838 8.6756 11.5675
Hg 5.7838 2.8919 0.0000
Hg 11.5675 5.7838 -2.8919
Hg 2.8919 0.0000 5.7838
Hg 14.4594 0.0000 5.7838
Hg 0.0000 5.7838 2.8919
Hg 5.7838 -2.8919 11.5675
Hg 5.7838 14.4594 0.0000
Hg 11.5675 5.7838 8.6756
Hg -2.8919 11.5675 5.7838
Hg 8.6756 11.5675 5.7838
Hg 0.0000 5.7838 14.4594
Hg 5.7838 8.6756 11.5675
```



No. 8
CsInHg4 | PBE | relaxed

Values from the calculation:
The calculated volume comes out at 41.644 Å³ per atom. The calculation puts the calculated formation energy at -58.4 meV per atom.

extended XYZ file:
```
12
Lattice="7.5746 0.0000 0.0000 0.0000 7.5746 0.0000 0.0000 0.0000 8.7099" Properties=species:S:1:pos:R:3 pbc="T T T"
Cs 0.0000 3.7873 0.0000
Cs 3.7873 0.0000 0.0000
In 0.0000 0.0000 4.3550
In 3.7873 3.7873 4.3550
Hg 0.0000 0.0000 1.4670
Hg 0.0000 0.0000 7.2430
Hg 1.0570 2.7303 4.3550
Hg 2.7303 6.5176 4.3550
Hg 3.7873 3.7873 1.4670
Hg 3.7873 3.7873 7.2430
Hg 4.8443 1.0570 4.3550
Hg 6.5176 4.8443 4.3550
```



No. 9
Cs2In5Hg3 | PBE | relaxed

Values from the calculation:
The calculated volume comes out at 33.814 Å³ per atom. The calculation puts the calculated formation energy at -124.1 meV per atom.

extended XYZ file:
```
20
Lattice="-6.3423 7.2554 3.6742 6.3423 -7.2554 3.6742 6.3423 7.2554 -3.6742" Properties=species:S:1:pos:R:3 pbc="T T T"
Cs 3.0298 1.7919 0.0000
Cs 3.0298 -1.7919 3.6742
Cs 3.3125 9.0473 0.0000
Cs 3.3125 5.4635 3.6742
In 6.3423 -3.3449 1.8371
In 4.8728 -5.3055 3.6742
In 6.3423 0.0000 1.8371
In 4.8728 5.3055 0.0000
In 6.3423 3.3449 1.8371
In 0.0000 3.9106 1.8371
In 1.4695 1.9499 3.6742
In 0.0000 7.2554 1.8371
In 1.4695 12.5609 0.0000
In 0.0000 10.6003 1.8371
Hg 8.1847 1.7218 0.0000
Hg 0.0000 0.0000 1.8371
Hg 1.8423 5.5336 0.0000
Hg 4.5000 1.7218 3.6742
Hg 0.0000 0.0000 5.5113
Hg -1.8423 5.5336 3.6742
```



No. 10
Cs2InHg2 | PBE | relaxed

Values from the calculation:
The calculated volume comes out at 43.676 Å³ per atom. The calculation puts the calculated formation energy at -196.6 meV per atom.

extended XYZ file:
```
10
Lattice="6.4647 -3.7786 0.0000 6.4647 3.7786 0.0000 -1.8847 0.0000 8.9398" Properties=species:S:1:pos:R:3 pbc="T T T"
Cs 1.6885 0.9038 1.2770
Cs 0.7462 -0.9038 5.7469
Cs 10.2985 0.9038 3.1930
Cs 9.3561 -0.9038 7.6629
In 5.9935 0.6981 2.2350
In 5.0512 -0.6981 6.7049
Hg 3.8958 1.0336 4.4479
Hg 8.0913 1.0336 0.0220
Hg 2.9534 -1.0336 8.9179
Hg 7.1489 -1.0336 4.4919
```



No. 11
CsIn4Hg8 | PBE | relaxed

Values from the calculation:
The calculated volume comes out at 29.520 Å³ per atom. The calculation puts the calculated formation energy at -57.3 meV per atom.

extended XYZ file:
```
13
Lattice="-5.5251 5.5251 3.1427 5.5251 -5.5251 3.1427 5.5251 5.5251 -3.1427" Properties=species:S:1:pos:R:3 pbc="T T T"
Cs 0.0000 0.0000 0.0000
In 2.7626 2.7626 -1.5714
In 2.7626 -2.7626 1.5714
In -2.7626 2.7626 1.5714
In 2.7626 2.7626 1.5714
Hg 3.9216 0.0000 0.0000
Hg 7.1287 0.0000 0.0000
Hg 5.5251 2.9444 0.0000
Hg 0.0000 3.9216 0.0000
Hg 2.9444 5.5251 0.0000
Hg 2.5807 0.0000 3.1427
Hg 0.0000 7.1287 0.0000
Hg 0.0000 2.5807 3.1427
```



No. 12
CsIn4Hg | PBE | relaxed

Values from the calculation:
The calculated volume comes out at 32.606 Å³ per atom. The calculation puts the calculated formation energy at 15.8 meV per atom.

extended XYZ file:
```
6
Lattice="0.0000 4.6076 4.6076 4.6076 0.0000 4.6076 4.6076 4.6076 0.0000" Properties=species:S:1:pos:R:3 pbc="T T T"
Cs 0.0000 0.0000 0.0000
In 3.4617 3.4617 3.4617
In 5.7535 5.7535 3.4617
In 5.7535 3.4617 5.7535
In 3.4617 5.7535 5.7535
Hg 6.9114 6.9114 6.9114
```